Record 1
This record from Alexandria describes a relaxed structure of ThPaPdS4. The functional is GGA-PBE.

Summary:
DOS(E_F) in states/eV/cell: 5.74
Formation energy (no corrections) in eV/atom: -1.4274

Geometry as CIF:
```
data_ThPaPdS4
_symmetry_space_group_name_H-M 'P 1'
_symmetry_Int_Tables_number 1
_cell_length_a 6.4632
_cell_length_b 6.3640
_cell_length_c 7.5974
_cell_angle_alpha 90.00
_cell_angle_beta 106.80
_cell_angle_gamma 90.00
loop_
_symmetry_equiv_pos_as_xyz
'x,y,z'
loop_
_atom_site_label
_atom_site_type_symbol
_atom_site_fract_x
_atom_site_fract_y
_atom_site_fract_z
Th1 Th 0.7814 0.7500 0.9461
Th2 Th 0.2186 0.2500 0.0539
Pa1 Pa 0.7750 0.7500 0.4439
Pa2 Pa 0.2250 0.2500 0.5561
Pd1 Pd 0.2386 0.7500 0.3149
Pd2 Pd 0.7614 0.2500 0.6851
S1 S 0.0337 0.5185 0.7470
S2 S 0.9663 0.0185 0.2530
S3 S 0.9663 0.4815 0.2530
S4 S 0.0337 0.9815 0.7470
S5 S 0.4633 0.7500 0.1164
S6 S 0.5367 0.2500 0.8836
S7 S 0.4671 0.7500 0.6205
S8 S 0.5329 0.2500 0.3795
```

=====

Record 2
This record from Alexandria describes a relaxed structure of Pa3Tl3PdS8. The functional is GGA-PBE.

Summary:
DOS(E_F) in states/eV/cell: 14.75
Formation energy (no corrections) in eV/atom: -1.0371

Geometry as CIF:
```
data_Pa3Tl3PdS8
_symmetry_space_group_name_H-M 'P 1'
_symmetry_Int_Tables_number 1
_cell_length_a 8.1692
_cell_length_b 7.8219
_cell_length_c 8.6947
_cell_angle_alpha 114.60
_cell_angle_beta 90.00
_cell_angle_gamma 121.48
loop_
_symmetry_equiv_pos_as_xyz
'x,y,z'
loop_
_atom_site_label
_atom_site_type_symbol
_atom_site_fract_x
_atom_site_fract_y
_atom_site_fract_z
Pa1 Pa 0.5000 0.0000 0.5000
Pa2 Pa 0.5000 0.5000 0.5000
Pa3 Pa 0.0000 0.5000 0.5000
Tl1 Tl 0.0000 0.0000 0.0000
Tl2 Tl 0.0000 0.5000 0.0000
Tl3 Tl 0.5000 0.5000 0.0000
Pd1 Pd 0.0000 0.0000 0.5000
S1 S 0.2650 0.5300 0.2995
S2 S 0.7350 0.4700 0.7005
S3 S 0.7846 0.5691 0.3251
S4 S 0.2154 0.4309 0.6749
S5 S 0.7484 0.0478 0.2953
S6 S 0.2516 0.9522 0.7047
S7 S 0.2994 0.0478 0.2953
S8 S 0.7006 0.9522 0.7047
```

=====

Record 3
This record from Alexandria describes a relaxed structure of PaTlPdS4. The functional is GGA-PBE.

Summary:
DOS(E_F) in states/eV/cell: 1.93
Formation energy (no corrections) in eV/atom: -0.8736

Geometry as CIF:
```
data_PaTlPdS4
_symmetry_space_group_name_H-M 'P 1'
_symmetry_Int_Tables_number 1
_cell_length_a 6.8037
_cell_length_b 5.4869
_cell_length_c 9.3168
_cell_angle_alpha 90.00
_cell_angle_beta 110.12
_cell_angle_gamma 90.00
loop_
_symmetry_equiv_pos_as_xyz
'x,y,z'
loop_
_atom_site_label
_atom_site_type_symbol
_atom_site_fract_x
_atom_site_fract_y
_atom_site_fract_z
Pa1 Pa 0.7239 0.7500 0.4442
Pa2 Pa 0.2761 0.2500 0.5558
Tl1 Tl 0.7316 0.7500 0.9515
Tl2 Tl 0.2684 0.2500 0.0485
Pd1 Pd 0.2115 0.7500 0.3049
Pd2 Pd 0.7885 0.2500 0.6951
S1 S 0.0435 0.5433 0.6942
S2 S 0.9565 0.0433 0.3058
S3 S 0.9565 0.4567 0.3058
S4 S 0.0435 0.9567 0.6942
S5 S 0.4555 0.7500 0.1675
S6 S 0.5445 0.2500 0.8325
S7 S 0.4262 0.7500 0.5756
S8 S 0.5738 0.2500 0.4244
```

=====

Record 4
This record from Alexandria describes a relaxed structure of Pa2TlPd2S6. The functional is GGA-PBE.

Summary:
DOS(E_F) in states/eV/cell: 6.53
Formation energy (no corrections) in eV/atom: -1.0257

Geometry as CIF:
```
data_Pa2TlPd2S6
_symmetry_space_group_name_H-M 'P 1'
_symmetry_Int_Tables_number 1
_cell_length_a 7.0609
_cell_length_b 6.9538
_cell_length_c 8.0183
_cell_angle_alpha 122.17
_cell_angle_beta 89.05
_cell_angle_gamma 62.10
loop_
_symmetry_equiv_pos_as_xyz
'x,y,z'
loop_
_atom_site_label
_atom_site_type_symbol
_atom_site_fract_x
_atom_site_fract_y
_atom_site_fract_z
Pa1 Pa 0.8323 0.3294 0.8269
Pa2 Pa 0.1677 0.6706 0.1731
Tl1 Tl 0.5000 0.0000 0.5000
Pd1 Pd 0.2304 0.7740 0.8288
Pd2 Pd 0.7696 0.2260 0.1712
S1 S 0.4187 0.8134 0.0763
S2 S 0.9608 0.4265 0.1564
S3 S 0.1931 0.8006 0.5490
S4 S 0.0392 0.5735 0.8436
S5 S 0.8069 0.1994 0.4510
S6 S 0.5813 0.1866 0.9237
```

=====

What is the DOS(E_F) in the first record? 5.74 states/eV/cell

=====

Among the records above, which one has the highest formation energy (no corrections)? PaTlPdS4